Entry 1:
Entry from Alexandria: a relaxed structure of Cs2LiMg2 (PBE).

Geometry as extended XYZ:
```
10
Lattice="11.670 0.000 0.000 0.000 11.670 0.000 0.000 0.000 3.894" Properties=species:S:1:pos:R:3 pbc="T T T"
Cs 2.249 3.586 0.000
Cs 3.586 9.421 0.000
Cs 8.084 2.249 0.000
Cs 9.421 8.084 0.000
Li 0.000 0.000 0.000
Li 5.835 5.835 0.000
Mg 1.111 6.946 1.947
Mg 4.724 1.111 1.947
Mg 6.946 10.559 1.947
Mg 10.559 4.724 1.947
```

Computed properties:
Its density of states at the Fermi level is 0.69 states/eV/atom. As for the energy above the most stable polymorph in this dataset: 105 meV per atom. The value obtained for the formation energy is 0.38 eV/atom. The calculation puts the total energy at -0.9812 eV/atom.



Entry 2:
Entry from Alexandria: a relaxed structure of CuReTe2S (PBE).

Geometry as extended XYZ:
```
5
Lattice="5.445 0.000 0.000 0.000 5.445 0.000 0.000 0.000 4.358" Properties=species:S:1:pos:R:3 pbc="T T T"
Cu 0.000 0.000 0.000
Re 2.723 2.723 2.179
Te 0.000 2.723 2.179
Te 2.723 0.000 2.179
S 2.723 2.723 0.000
```

Computed properties:
Its density of states at the Fermi level is 1.22 states/eV/atom. The calculation puts the total energy at -4.7250 eV/atom. The uncorrected formation energy is 666 meV per atom.



Entry 3:
Entry from Alexandria: a relaxed structure of CsSrPO2 (PBE).

Geometry as extended XYZ:
```
5
Lattice="4.601 0.000 0.000 0.000 4.601 0.000 0.000 0.000 5.514" Properties=species:S:1:pos:R:3 pbc="T T T"
Cs 0.000 0.000 0.000
Sr 2.301 2.301 2.757
P 0.000 0.000 2.757
O 0.000 2.301 0.000
O 2.301 0.000 0.000
```

Computed properties:
Its density of states at the Fermi level is 1.09 states/eV/atom. The calculation puts the total energy at -3.5003 eV/atom. The uncorrected formation energy is 72 meV per atom.



Entry 4:
Entry from Alexandria: a relaxed structure of NdPaMn (PBE).

Geometry as extended XYZ:
```
12
Lattice="6.041 0.000 0.000 0.000 6.029 0.000 -2.975 0.000 7.779" Properties=species:S:1:pos:R:3 pbc="T T T"
Nd 0.087 0.000 2.638
Nd -0.042 3.014 5.141
Nd 3.107 3.014 2.638
Nd 2.979 0.000 5.141
Pa 0.123 3.014 1.539
Pa -0.078 0.000 6.240
Pa 3.144 0.000 1.539
Pa 2.942 3.014 6.240
Mn 1.510 1.507 0.000
Mn 1.510 4.521 0.000
Mn 4.531 1.507 0.000
Mn 4.531 4.521 0.000
```

Computed properties:
Its density of states at the Fermi level is 1.53 states/eV/atom. As for the energy above the most stable polymorph in this dataset: 209 meV per atom. The value obtained for the formation energy is 0.26 eV/atom. The calculation puts the total energy at -7.5467 eV/atom.



Q: Which formula does entry 1 have?
A: Cs2LiMg2